No. 1
A relaxed structure of Hf2AlNi3, computed with GGA-PBE.

The calculation puts the density of states at the Fermi level at 8.22 states/eV per cell. As for the total energy: -7.380 eV/atom. The energy of formation from the pure elements is -547.8 meV/atom. The density is 10.7 g/cm³.

The space group is P6_3/mmc (No. 194) and the conventional cell measures 5.0473, 5.0473 and 7.8872 Å, with angles of 90.00, 90.00 and 120.00 degrees. The asymmetric unit holds Hf at (0.3333, 0.6667, 0.0567), Al at (0.0000, 0.0000, 0.0000) and Ni at (0.1704, 0.3408, 0.7500).

No. 2
A relaxed structure of TlCd2As, computed with GGA-PBE.

The calculation puts the density of states at the Fermi level at 3.12 states/eV per cell. As for the total energy: -2.039 eV/atom. The energy of formation from the pure elements is 172.7 meV/atom. The density is 8.5 g/cm³.

The space group is C2/m (No. 12) and the conventional cell measures 6.7701, 10.6486 and 2.9980 Å, with angles of 90.00, 113.61 and 90.00 degrees. The asymmetric unit holds Tl at (0.0000, 0.0000, 0.0000), Cd at (0.2500, 0.2500, 0.0000) and As at (0.0000, 0.5000, 0.0000).

No. 3
A relaxed structure of Mg2ScTa, computed with GGA-PBE.

The calculation puts the density of states at the Fermi level at 3.02 states/eV per cell. As for the total energy: -5.021 eV/atom. The energy of formation from the pure elements is 322.0 meV/atom. The density is 5.6 g/cm³.

The space group is P4/mmm (No. 123) and the conventional cell measures 4.9317, 4.9317 and 3.3248 Å, with angles of 90.00, 90.00 and 90.00 degrees. The asymmetric unit holds Mg at (0.0000, 0.5000, 0.0000), Sc at (0.0000, 0.0000, 0.5000) and Ta at (0.5000, 0.5000, 0.5000).

No. 4
A relaxed structure of TaBe2W, computed with GGA-PBE.

The calculation puts the density of states at the Fermi level at 1.61 states/eV per cell. As for the total energy: -7.995 eV/atom. The energy of formation from the pure elements is 69.4 meV/atom. The density is 12.3 g/cm³.

The space group is Cmm2 (No. 35) and the conventional cell measures 3.5817, 4.0876 and 7.0360 Å, with angles of 90.00, 90.00 and 90.00 degrees. The asymmetric unit holds Ta at (0.0000, 0.0000, 0.0000), Be at (0.0000, 0.0000, 0.4143), Be at (0.0000, 0.5000, 0.2570) and W at (0.0000, 0.5000, 0.6595).

No. 5
A relaxed structure of AsCl, computed with GGA-PBE.

For the uncorrected formation energy, the calculation gives 122 kJ/mol of formula units. The calculation puts the density of states at the Fermi level at 9.48 states/eV per cell. As for the total energy: -2.618 eV/atom. The density is 3.9 g/cm³.

The space group is Fm-3m (No. 225) and the conventional cell measures 5.7068, 5.7068 and 5.7068 Å, with angles of 90.00, 90.00 and 90.00 degrees. The asymmetric unit holds As at (0.0000, 0.0000, 0.0000) and Cl at (0.0000, 0.0000, 0.5000).

No. 6
A relaxed structure of FeSiSe2, computed with GGA-PBE.

For the uncorrected formation energy, the calculation gives 254 kJ/mol of formula units. The calculation puts the density of states at the Fermi level at 13.04 states/eV per cell. As for the total energy: -4.555 eV/atom. The density is 6.0 g/cm³.

The space group is F-43m (No. 216) and the conventional cell measures 6.4508, 6.4508 and 6.4508 Å, with angles of 90.00, 90.00 and 90.00 degrees. The asymmetric unit holds Fe at (0.0000, 0.0000, 0.0000), Si at (0.2500, 0.2500, 0.7500), Se at (0.0000, 0.0000, 0.5000) and Se at (0.2500, 0.2500, 0.2500).

No. 7
A relaxed structure of Bi3IrPt, computed with GGA-PBE.

The calculation puts the density of states at the Fermi level at 22.25 states/eV per cell. As for the total energy: -5.346 eV/atom. The energy of formation from the pure elements is -36.8 meV/atom. The density is 13.1 g/cm³.

The space group is C2/c (No. 15) and the conventional cell measures 13.7773, 11.8375 and 6.8730 Å, with angles of 90.00, 112.94 and 90.00 degrees. The asymmetric unit holds Bi at (0.1142, 0.2470, 0.0980), Bi at (0.1307, 0.0821, 0.4982), Bi at (0.1387, 0.4571, 0.6592), Ir at (0.2298, 0.1186, 0.9333), Pt at (0.0000, 0.1002, 0.7500) and Pt at (0.0000, 0.3925, 0.2500).

No. 8
A relaxed structure of In2FeSnI, computed with GGA-PBE.

For the uncorrected formation energy, the calculation gives 440 kJ/mol of formula units. The calculation puts the density of states at the Fermi level at 4.12 states/eV per cell. As for the total energy: -2.986 eV/atom. The density is 4.9 g/cm³.

The space group is P4/mmm (No. 123) and the conventional cell measures 6.1987, 6.1987 and 4.6936 Å, with angles of 90.00, 90.00 and 90.00 degrees. The asymmetric unit holds In at (0.0000, 0.5000, 0.0000), Fe at (0.0000, 0.0000, 0.5000), Sn at (0.5000, 0.5000, 0.5000) and I at (0.0000, 0.0000, 0.0000).

No. 9
A relaxed structure of Tm4SiC, computed with GGA-PBE.

For the uncorrected formation energy, the calculation gives -200 kJ/mol of formula units. The calculation puts the density of states at the Fermi level at 23.28 states/eV per cell. As for the total energy: -5.768 eV/atom. The density is 8.5 g/cm³.

The space group is C2/c (No. 15) and the conventional cell measures 8.0504, 13.5748 and 6.2073 Å, with angles of 90.00, 124.78 and 90.00 degrees. The asymmetric unit holds Tm at (0.1410, 0.2026, 0.1518), Tm at (0.2380, 0.0447, 0.7118), Si at (0.0000, 0.3805, 0.7500) and C at (0.0000, 0.0655, 0.2500).

No. 10
A relaxed structure of Tb2PmNi, computed with GGA-PBE.

The calculation puts the density of states at the Fermi level at 19.35 states/eV per cell. As for the total energy: -4.884 eV/atom. The energy of formation from the pure elements is 63.6 meV/atom. The density is 7.4 g/cm³.

The space group is R-3m (No. 166, hexagonal axes) and the conventional cell measures 3.5961, 3.5961 and 31.4444 Å, with angles of 90.00, 90.00 and 120.00 degrees. The asymmetric unit holds Tb at (0.0000, 0.0000, 0.1116), Pm at (0.0000, 0.0000, 0.0000) and Ni at (0.0000, 0.0000, 0.5000).

No. 11
A relaxed structure of La2PmCoPb, computed with GGA-PBE.

The calculation puts the density of states at the Fermi level at 2.86 states/eV per cell. As for the total energy: -5.443 eV/atom. The energy of formation from the pure elements is -359.2 meV/atom. The density is 7.7 g/cm³.

The space group is P4/mmm (No. 123) and the conventional cell measures 5.2056, 5.2056 and 5.4871 Å, with angles of 90.00, 90.00 and 90.00 degrees. The asymmetric unit holds La at (0.0000, 0.5000, 0.0000), Pm at (0.0000, 0.0000, 0.5000), Co at (0.0000, 0.0000, 0.0000) and Pb at (0.5000, 0.5000, 0.5000).

No. 12
A relaxed structure of Sm3ScHg12, computed with GGA-PBE.

The calculation puts the density of states at the Fermi level at 13.77 states/eV per cell. As for the total energy: -1.814 eV/atom. The energy of formation from the pure elements is -306.8 meV/atom. The density is 12.2 g/cm³.

The space group is P4/mmm (No. 123) and the conventional cell measures 4.6396, 4.6396 and 18.3705 Å, with angles of 90.00, 90.00 and 90.00 degrees. The asymmetric unit holds Sm at (0.0000, 0.0000, 0.0000), Sm at (0.0000, 0.0000, 0.2592), Sc at (0.0000, 0.0000, 0.5000), Hg at (0.0000, 0.5000, 0.1288), Hg at (0.0000, 0.5000, 0.3841), Hg at (0.5000, 0.5000, 0.0000), Hg at (0.5000, 0.5000, 0.2577) and Hg at (0.5000, 0.5000, 0.5000).